Density functional theory data (PBE) for KTl2AuBr5 after structural relaxation.

abc: 8.6799 8.6799 10.1212
angles: 115.39 115.39 90.00
Last column: nearest neighbours and their distance in Å.
Fractional positions:
1 Tl 0.8348 0.6652 0.0000  4 Br 3.14-3.24
2 Br 0.2992 0.7992 0.2821  1 Au 2.62
3 Tl 0.3348 0.8348 0.0000  4 Br 3.14-3.24
4 Br 0.7008 0.2008 0.7179  1 Au 2.62
5 Au 0.7500 0.2500 0.5000  4 Br 2.62
6 Br 0.4829 0.2992 0.2821  1 Au 2.62
7 Br 0.0171 0.5171 0.7179  1 Au 2.62
8 Br 0.0000 0.0000 0.0000  4 Tl 3.24
9 Au 0.2500 0.7500 0.5000  4 Br 2.62
10 Br 0.9829 0.4829 0.2821  1 Au 2.62
11 Br 0.5171 0.7008 0.7179  1 Au 2.62
12 Tl 0.6652 0.1652 0.0000  4 Br 3.14-3.24
13 K 0.2500 0.2500 0.5000  10 Br 3.71-4.02
14 Br 0.7992 0.9829 0.2821  1 Au 2.62
15 Br 0.2008 0.0171 0.7179  1 Au 2.62
16 K 0.7500 0.7500 0.5000  10 Br 3.71-4.02
17 Br 0.5000 0.5000 0.0000  4 Tl 3.24
18 Tl 0.1652 0.3348 0.0000  4 Br 3.14-3.24

Values from the calculation:
Crystal system: tetragonal
Formation energy (no corrections): -70.6 kJ/mol of atoms
DOS(E_F): 0.7018 states/eV per atom
VASP energy: -2.67 eV/atom

Density functional theory data (PBE) for K2TlAuBr6 after structural relaxation.

abc: 8.1219 8.3092 8.2877
angles: 54.76 58.97 53.55
Last column: nearest neighbours and their distance in Å.
Fractional positions:
1 K 0.0245 0.0542 0.8880  6 Br 3.33-3.66
2 Au 0.8213 0.8217 0.5326  2 Br 2.49
3 K 0.5651 0.5329 0.3763  6 Br 3.36-3.56
4 Br 0.0824 0.4916 0.7306  1 Au 2.49
5 Br 0.1389 0.0263 0.2789  1 Tl 2.76, 1 Au 3.08
6 Tl 0.3154 0.3211 0.0366  4 Br 2.76-2.79
7 Br 0.0033 0.5757 0.2597  1 Tl 2.76
8 Br 0.5802 0.1552 0.3149  1 Au 2.49
9 Br 0.4867 0.6251 0.7760  1 Tl 2.79
10 Br 0.6438 0.0578 0.8216  1 Tl 2.78

Values from the calculation:
Crystal system: triclinic
Formation energy (no corrections): -86.9 kJ/mol of atoms
DOS(E_F): 0.0294 states/eV per atom
VASP energy: -2.69 eV/atom

Density functional theory data (PBE) for KYAuBr2 after structural relaxation.

abc: 6.2894 5.2663 6.2894
angles: 90.00 90.00 90.00
Last column: nearest neighbours and their distance in Å.
Fractional positions:
1 Br 0.0000 0.0000 0.5000  2 Au 3.14
2 Br 0.5000 0.0000 0.0000  2 Au 3.14
3 K 0.5000 0.5000 0.5000  8 Br 4.10, 4 Y 4.45
4 Y 0.0000 0.5000 0.0000  2 Au 2.63
5 Au 0.0000 0.0000 0.0000  2 Y 2.63

Values from the calculation:
Crystal system: tetragonal
Formation energy (no corrections): -25.0 kJ/mol of atoms
DOS(E_F): 0.6534 states/eV per atom
VASP energy: -3.10 eV/atom

Density functional theory data (PBE) for La4AuBr5 after structural relaxation.

abc: 4.1786 9.0741 9.6874
angles: 101.89 102.45 90.00
Last column: nearest neighbours and their distance in Å.
Fractional positions:
1 Br 0.5000 0.5000 0.0000  4 La 3.22
2 La 0.9950 0.7678 0.9900  2 Au 2.95, 4 Br 3.06-3.22
3 Br 0.8299 0.6801 0.6599  3 La 3.06-3.08
4 Au 0.5000 0.0000 0.0000  6 La 2.95-3.10
5 Br 0.1701 0.3199 0.3401  3 La 3.06-3.08
6 La 0.6677 0.0691 0.3354  5 Br 3.08-3.13, 1 Au 3.10
7 La 0.0050 0.2322 0.0100  2 Au 2.95, 4 Br 3.06-3.22
8 La 0.3323 0.9309 0.6646  5 Br 3.08-3.13, 1 Au 3.10
9 Br 0.8354 0.1870 0.6707  4 La 3.12-3.15
10 Br 0.1646 0.8130 0.3293  4 La 3.12-3.15

Values from the calculation:
Crystal system: monoclinic
Formation energy (no corrections): -145.4 kJ/mol of atoms
DOS(E_F): 0.6165 states/eV per atom
VASP energy: -4.64 eV/atom

Density functional theory data (PBE) for La2AuBr after structural relaxation.

abc: 10.4472 10.4472 10.4472
angles: 22.14 22.14 22.14
Last column: nearest neighbours and their distance in Å.
Fractional positions:
1 Au 0.4896 0.4896 0.4896  3 La 3.03
2 Br 0.2591 0.2591 0.2591  3 La 3.08
3 La 0.7590 0.7590 0.7590  3 Au 3.03
4 La 0.9922 0.9922 0.9922  3 Br 3.08

Values from the calculation:
Crystal system: trigonal
Formation energy (no corrections): -65.9 kJ/mol of atoms
DOS(E_F): 0.3325 states/eV per atom
VASP energy: -4.38 eV/atom

Density functional theory data (PBE) for LaAuBr after structural relaxation.

abc: 5.0849 9.6777 9.6778
angles: 60.32 65.96 65.96
Last column: nearest neighbours and their distance in Å.
Fractional positions:
1 Br 0.7405 0.8785 0.6285  4 La 3.18-3.20, 4 Br 3.49-3.55
2 Br 0.7405 0.3784 0.1285  4 La 3.18-3.20, 4 Br 3.49-3.55
3 Au 0.3338 0.6316 0.3816  2 Au 2.91, 4 La 3.05-3.17
4 Br 0.2595 0.6216 0.8715  4 La 3.18-3.20, 4 Br 3.49-3.55
5 Au 0.6662 0.8684 0.1184  2 Au 2.91, 4 La 3.05-3.17
6 La 0.0365 0.0101 0.7601  4 Au 3.05-3.17, 4 Br 3.18-3.20
7 La 0.9635 0.4900 0.7400  4 Au 3.05-3.17, 4 Br 3.18-3.20
8 Au 0.6662 0.3684 0.6184  2 Au 2.91, 4 La 3.05-3.17
9 Br 0.2595 0.1215 0.3715  4 La 3.18-3.20, 4 Br 3.49-3.55
10 La 0.0365 0.5100 0.2600  4 Au 3.05-3.17, 4 Br 3.18-3.20
11 La 0.9635 0.9899 0.2399  4 Au 3.05-3.17, 4 Br 3.18-3.20
12 Au 0.3338 0.1316 0.8816  2 Au 2.91, 4 La 3.05-3.17

Values from the calculation:
Crystal system: monoclinic
Formation energy (no corrections): -116.8 kJ/mol of atoms
DOS(E_F): 0.5279 states/eV per atom
VASP energy: -4.50 eV/atom

Density functional theory data (PBE) for LaAuBr after structural relaxation.

abc: 4.7615 4.7615 10.2213
angles: 88.18 88.18 60.17
Last column: nearest neighbours and their distance in Å.
Fractional positions:
1 La 0.9905 0.9905 0.6710  3 Br 3.20-3.21, 6 Au 3.21-3.29, 1 La 3.49
2 Br 0.3173 0.3173 0.8317  3 La 3.20-3.21, 1 Au 3.44
3 La 0.0095 0.0095 0.3290  3 Br 3.20-3.21, 6 Au 3.21-3.29, 1 La 3.49
4 Br 0.6827 0.6827 0.1683  3 La 3.20-3.21, 1 Au 3.44
5 Au 0.3333 0.3333 0.4948  3 Au 2.75
6 Au 0.6667 0.6667 0.5052  3 Au 2.75

Values from the calculation:
Crystal system: monoclinic
Formation energy (no corrections): -122.7 kJ/mol of atoms
DOS(E_F): 0.2558 states/eV per atom
VASP energy: -4.56 eV/atom

Density functional theory data (PBE) for LaAu2Br6 after structural relaxation.

abc: 7.5555 10.0243 10.0243
angles: 80.43 80.60 80.60
Last column: nearest neighbours and their distance in Å.
Fractional positions:
1 La 0.7500 0.9060 0.0940  6 Br 2.95-2.98
2 Br 0.1261 0.8209 0.9723  2 La 2.95-2.97
3 Br 0.1627 0.0698 0.6326  1 Au 2.51
4 Br 0.5058 0.6996 0.5424  2 Au 2.44-2.68
5 Br 0.8373 0.9302 0.3674  1 Au 2.51
6 La 0.2500 0.0940 0.9060  6 Br 2.95-2.98
7 Br 0.3373 0.3674 0.9302  1 Au 2.51
8 Br 0.8739 0.1791 0.0277  2 La 2.95-2.97
9 Au 0.8578 0.7162 0.5370  3 Br 2.44-2.68
10 Br 0.9942 0.4576 0.3004  2 Au 2.44-2.68
11 Br 0.4942 0.3004 0.4576  2 Au 2.44-2.68
12 Br 0.0058 0.5424 0.6996  2 Au 2.44-2.68
13 Au 0.1422 0.2838 0.4630  3 Br 2.44-2.68
14 Au 0.3578 0.5370 0.7162  3 Br 2.44-2.68
15 Au 0.6422 0.4630 0.2838  3 Br 2.44-2.68
16 Br 0.6261 0.9723 0.8209  2 La 2.95-2.97
17 Br 0.3739 0.0277 0.1791  2 La 2.95-2.97
18 Br 0.6627 0.6326 0.0698  1 Au 2.51

Values from the calculation:
Crystal system: monoclinic
Formation energy (no corrections): -83.3 kJ/mol of atoms
DOS(E_F): 0.2931 states/eV per atom
VASP energy: -3.25 eV/atom

Copy entry 3 word for word.
Density functional theory data (PBE) for KYAuBr2 after structural relaxation.

abc: 6.2894 5.2663 6.2894
angles: 90.00 90.00 90.00
Last column: nearest neighbours and their distance in Å.
Fractional positions:
1 Br 0.0000 0.0000 0.5000  2 Au 3.14
2 Br 0.5000 0.0000 0.0000  2 Au 3.14
3 K 0.5000 0.5000 0.5000  8 Br 4.10, 4 Y 4.45
4 Y 0.0000 0.5000 0.0000  2 Au 2.63
5 Au 0.0000 0.0000 0.0000  2 Y 2.63

Values from the calculation:
Crystal system: tetragonal
Formation energy (no corrections): -25.0 kJ/mol of atoms
DOS(E_F): 0.6534 states/eV per atom
VASP energy: -3.10 eV/atom

- The highest formation energy (no corrections) belongs to which entry?
  KYAuBr2

- Among the records above, which one has the highest VASP energy?
  KTl2AuBr5